VASP calculation (PBE) on a relaxed structure of TaFe3.

Cell lengths 4.760, 4.760, 15.559 Å; angles 90.00, 90.00, 120.00 degrees
Sites, in units of the cell vectors:
Ta1 0.667 0.333 0.540
Ta2 0.333 0.667 0.040
Ta3 0.333 0.667 0.460
Ta4 0.667 0.333 0.960
Ta5 0.667 0.333 0.750
Ta6 0.333 0.667 0.250
Fe1 0.338 0.169 0.123
Fe2 0.831 0.169 0.123
Fe3 0.831 0.662 0.123
Fe4 0.662 0.831 0.623
Fe5 0.169 0.831 0.623
Fe6 0.169 0.338 0.623
Fe7 0.169 0.831 0.877
Fe8 0.662 0.831 0.877
Fe9 0.169 0.338 0.877
Fe10 0.831 0.169 0.377
Fe11 0.338 0.169 0.377
Fe12 0.831 0.662 0.377
Fe13 0.667 0.333 0.250
Fe14 0.333 0.667 0.750
Fe15 0.000 0.000 0.250
Fe16 0.000 0.000 0.750
Fe17 0.000 0.000 0.000
Fe18 0.000 0.000 0.500

Computed properties:
- Crystal system: hexagonal
- Total energy: -225.92 eV/cell
- Calculated volume: 305.3 Å³/cell
- Total magnetic moment: 1.0382 μB/atom